No. 1
GdEr2Cu4Sn4, optimized geometry, DFT PBE; symmetry = Immm, No. 71; uncorrected energy = -0.3353 Ry/atom
1.0
4.388 6.975 1.662
-3.004 5.884 5.198
2.510 -7.920 -1.283
Cu Er Gd Sn
4 2 1 4
direct
0.640 0.328 0.311
0.983 0.672 0.311
0.017 0.328 0.689
0.360 0.672 0.689
0.631 0.131 0.500
0.369 0.869 0.500
0.000 0.000 0.000
0.217 0.217 0.000
0.783 0.783 0.000
0.701 0.500 0.201
0.299 0.500 0.799

No. 2
Gd2ErCu4Sn4, optimized geometry, DFT PBE; symmetry = Immm, No. 71; uncorrected energy = -0.3372 Ry/atom
1.0
4.827 -0.421 6.911
7.822 3.168 0.115
-8.297 1.207 -0.971
Cu Er Gd Sn
4 1 2 4
direct
0.640 0.328 0.312
0.983 0.672 0.312
0.017 0.328 0.688
0.360 0.672 0.688
0.000 0.000 0.000
0.631 0.131 0.500
0.369 0.869 0.500
0.215 0.215 0.000
0.785 0.785 0.000
0.705 0.500 0.205
0.295 0.500 0.795